Here is an optimized crystal structure of KYI2 from the Alexandria database. Energies are from PBE.

abc: 4.1645 4.1645 34.7754
angles: 90.00 90.00 120.00
Space group R-3m (No. 166, hexagonal axes)
Inequivalent atoms, fractional coordinates:
K 0.0000 0.0000 0.0000 (multiplicity 3)
Y 0.0000 0.0000 0.5000 (multiplicity 3)
I 0.0000 0.0000 0.1096 (multiplicity 6)

Its crystal system is trigonal. The formation energy (no corrections) comes out at -0.89 eV/atom. Its total energy is -0.261 Ry/atom.